# LaTm2Cl, relaxed, DFT PBE-GGA
# Formation energy without anion corrections, eV/f.u.: -1.51
# E, eV/atom: -4.31
data_LaTm2Cl
_chemical_formula_sum 'La3 Tm6 Cl3'
_cell_length_a 3.417
_cell_length_b 3.417
_cell_length_c 33.533
_cell_angle_alpha 90.00
_cell_angle_beta 90.00
_cell_angle_gamma 120.00
_space_group_name_H-M_alt 'P 1'
_space_group_IT_number 1
loop_
_space_group_symop_operation_xyz
'x,y,z'
loop_
_atom_site_label
_atom_site_type_symbol
_atom_site_fract_x
_atom_site_fract_y
_atom_site_fract_z
La1 La 0.000 0.000 0.000
La2 La 0.333 0.667 0.667
La3 La 0.667 0.333 0.333
Tm1 Tm 0.000 0.000 0.101
Tm2 Tm 0.000 0.000 0.899
Tm3 Tm 0.333 0.667 0.566
Tm4 Tm 0.333 0.667 0.768
Tm5 Tm 0.667 0.333 0.232
Tm6 Tm 0.667 0.333 0.434
Cl1 Cl 0.000 0.000 0.500
Cl2 Cl 0.333 0.667 0.167
Cl3 Cl 0.667 0.333 0.833